Model 1:
# Ni2MoIr (GGA-PBE, relaxed)
data_Ni2MoIr
_cell_length_a 5.4946
_cell_length_b 5.4946
_cell_length_c 9.7306
_cell_angle_alpha 90.00
_cell_angle_beta 90.00
_cell_angle_gamma 90.00
_symmetry_space_group_name_H-M 'I -4 2 d'
_symmetry_Int_Tables_number 122
_symmetry_space_group_name_Hall 'I -4 2bw'
loop_
_atom_site_label
_atom_site_type_symbol
_atom_site_fract_x
_atom_site_fract_y
_atom_site_fract_z
Ni1 Ni 0.2484 0.2500 0.1250
Mo1 Mo 0.0000 0.0000 0.5000
Ir1 Ir 0.0000 0.0000 0.0000
# * DOS(E_F): 2.65 states/eV/f.u.
# * mass density: 9.17 g/cm3

Model 2:
# Ni2MoIr (GGA-PBE, relaxed)
data_Ni2MoIr
_cell_length_a 2.6652
_cell_length_b 3.7498
_cell_length_c 5.2254
_cell_angle_alpha 90.00
_cell_angle_beta 90.00
_cell_angle_gamma 90.00
_symmetry_space_group_name_H-M 'P m m m'
_symmetry_Int_Tables_number 47
loop_
_symmetry_equiv_pos_as_xyz
'x,y,z'
'-x,-y,-z'
'-x,-y,z'
'x,y,-z'
'x,-y,-z'
'-x,y,z'
'-x,y,-z'
'x,-y,z'
loop_
_atom_site_label
_atom_site_type_symbol
_atom_site_fract_x
_atom_site_fract_y
_atom_site_fract_z
Ni1 Ni 0.0000 0.0000 0.2492
Mo1 Mo 0.5000 0.5000 0.0000
Ir1 Ir 0.5000 0.5000 0.5000
# * DOS(E_F): 5.78 states/eV/f.u.
# * mass density: 12.90 g/cm3

Question: which arrangement is favored energetically? Ranking from most to least stable: model 2, model 1.

Model 1:
# Ni2MoIr (GGA-PBE, relaxed)
data_Ni2MoIr
_cell_length_a 5.9755
_cell_length_b 5.9755
_cell_length_c 5.9755
_cell_angle_alpha 90.00
_cell_angle_beta 90.00
_cell_angle_gamma 90.00
_symmetry_space_group_name_H-M 'F -4 3 m'
_symmetry_Int_Tables_number 216
_symmetry_space_group_name_Hall 'F -4 2 3'
loop_
_atom_site_label
_atom_site_type_symbol
_atom_site_fract_x
_atom_site_fract_y
_atom_site_fract_z
Ni1 Ni 0.0000 0.0000 0.0000
Ni2 Ni 0.2500 0.2500 0.2500
Mo1 Mo 0.2500 0.2500 0.7500
Ir1 Ir 0.0000 0.0000 0.5000
# * DOS(E_F): 5.61 states/eV/f.u.
# * mass density: 12.62 g/cm3

Model 2:
# Ni2MoIr (GGA-PBE, relaxed)
data_Ni2MoIr
_cell_length_a 5.2281
_cell_length_b 7.4147
_cell_length_c 2.6921
_cell_angle_alpha 90.00
_cell_angle_beta 90.11
_cell_angle_gamma 90.00
_symmetry_space_group_name_H-M 'C 1 2/m 1'
_symmetry_Int_Tables_number 12
loop_
_symmetry_equiv_pos_as_xyz
'x,y,z'
'-x,-y,-z'
'-x,y,-z'
'x,-y,z'
'x+1/2,y+1/2,z'
'-x+1/2,-y+1/2,-z'
'-x+1/2,y+1/2,-z'
'x+1/2,-y+1/2,z'
loop_
_atom_site_label
_atom_site_type_symbol
_atom_site_fract_x
_atom_site_fract_y
_atom_site_fract_z
Ni1 Ni 0.2500 0.2500 0.0000
Mo1 Mo 0.0000 0.0000 0.5000
Ir1 Ir 0.0000 0.5000 0.5000
# * DOS(E_F): 4.81 states/eV/f.u.
# * mass density: 12.91 g/cm3

Model 3:
# Ni2MoIr (GGA-PBE, relaxed)
data_Ni2MoIr
_cell_length_a 3.7292
_cell_length_b 3.7292
_cell_length_c 3.7437
_cell_angle_alpha 90.00
_cell_angle_beta 90.00
_cell_angle_gamma 90.00
_symmetry_space_group_name_H-M 'P 4/m m m'
_symmetry_Int_Tables_number 123
_symmetry_space_group_name_Hall '-P 4 2'
loop_
_atom_site_label
_atom_site_type_symbol
_atom_site_fract_x
_atom_site_fract_y
_atom_site_fract_z
Ni1 Ni 0.0000 0.5000 0.0000
Mo1 Mo 0.0000 0.0000 0.5000
Ir1 Ir 0.5000 0.5000 0.5000
# * DOS(E_F): 4.79 states/eV/f.u.
# * mass density: 12.93 g/cm3

Question: which arrangement is favored energetically? Ranking from most to least stable: model 3, model 2, model 1.